<P>
Below is crystalline NpHg2Bi at its relaxed geometry, with properties calculated at the PBE level.

Cell and atoms, written as extended XYZ:
```
4
Lattice="0.0000 3.7782 3.7782 3.7782 0.0000 3.7782 3.7782 3.7782 0.0000" Properties=species:S:1:pos:R:3 pbc="T T T"
Np 0.0000 0.0000 0.0000
Hg 1.8891 1.8891 1.8891
Hg 5.6673 5.6673 5.6673
Bi 3.7782 3.7782 3.7782
```

Computed properties:
volume	107.9	Å³ per cell

***

<Q>
Below is crystalline NpHg2Bi at its relaxed geometry, with properties calculated at the PBE level.

Cell and atoms, written as extended XYZ:
```
4
Lattice="4.5334 0.0000 0.0000 0.0000 4.5334 0.0000 0.0000 0.0000 5.1241" Properties=species:S:1:pos:R:3 pbc="T T T"
Np 0.0000 0.0000 0.0000
Hg 0.0000 2.2667 2.5621
Hg 2.2667 0.0000 2.5621
Bi 2.2667 2.2667 0.0000
```

Computed properties:
volume	105.3	Å³ per cell

***

<R>
Below is crystalline NpHg2Bi at its relaxed geometry, with properties calculated at the PBE level.

Cell and atoms, written as extended XYZ:
```
4
Lattice="0.0000 3.7864 3.7864 3.7864 0.0000 3.7864 3.7864 3.7864 0.0000" Properties=species:S:1:pos:R:3 pbc="T T T"
Np 0.0000 0.0000 0.0000
Hg 3.7864 3.7864 3.7864
Hg 5.6796 5.6796 5.6796
Bi 1.8932 1.8932 1.8932
```

Computed properties:
volume	108.6	Å³ per cell

***

What should be chosen as the most stable of them? Choose <Q>.